# 1
Compound: MnCd2SbTe
Source: Alexandria via LeMat-Bulk
Functional: GGA-PBEsol
Structure: relaxed

- Density of states at the Fermi level: 3.43 states/eV/cell
- Space-group type: P4/mmm, No. 123
- Energy relative to the elements, uncorrected: 761.0 meV per atom

Unit cell a=4.9272 b=5.4760 c=5.4760 alpha=90.00 beta=90.00 gamma=90.00
Site moments in Bohr magnetons follow the coordinates.
Fractional coordinates of all 5 atoms:
Cd (0.0000, 0.0000, 0.5000)  0.01
Cd (0.0000, 0.5000, 0.0000)  0.01
Te (0.0000, 0.0000, 0.0000)  0.00
Sb (0.5000, 0.5000, 0.5000)  0.12
Mn (0.5000, 0.0000, 0.0000)  3.90



# 2
Compound: MnZnCdSb2
Source: Alexandria via LeMat-Bulk
Functional: GGA-PBEsol
Structure: relaxed

- Density of states at the Fermi level: 2.69 states/eV/cell
- Space-group type: P4/mmm, No. 123
- Energy relative to the elements, uncorrected: 348.4 meV per atom

Unit cell a=4.7625 b=4.8423 c=4.8423 alpha=90.00 beta=90.00 gamma=90.00
Fractional coordinates of all 5 atoms:
Sb (0.0000, 0.5000, 0.0000)
Sb (0.0000, 0.0000, 0.5000)
Zn (0.5000, 0.0000, 0.0000)
Mn (0.0000, 0.0000, 0.0000)
Cd (0.5000, 0.5000, 0.5000)



# 3
Compound: ScMnCd
Source: Alexandria via LeMat-Bulk
Functional: GGA-PBEsol
Structure: relaxed

- Density of states at the Fermi level: 3.32 states/eV/cell
- Space-group type: P3m1, No. 156
- Formation enthalpy at 0 K: 0.1523 eV per atom

Unit cell a=3.0291 b=4.6319 c=4.6319 alpha=120.00 beta=90.00 gamma=90.00
Site moments in Bohr magnetons follow the coordinates.
Fractional coordinates of all 3 atoms:
Mn (0.8311, 0.6667, 0.3333)  3.46
Sc (0.3334, 0.3333, 0.6667)  -0.20
Cd (0.8355, 0.0000, 0.0000)  -0.02



# 4
Compound: ScMnCd2
Source: Alexandria via LeMat-Bulk
Functional: GGA-PBEsol
Structure: relaxed

- Density of states at the Fermi level: 2.52 states/eV/cell
- Space-group type: R3m, No. 160
- Formation enthalpy at 0 K: 0.1528 eV per atom

Unit cell a=3.0514 b=3.0514 c=9.5610 alpha=80.82 beta=80.82 gamma=60.00
Site moments in Bohr magnetons follow the coordinates.
Fractional coordinates of all 4 atoms:
Cd (0.9995, 0.9995, 0.0015)  -0.01
Cd (0.7562, 0.7562, 0.7314)  -0.03
Mn (0.5019, 0.5019, 0.4942)  3.11
Sc (0.2424, 0.2424, 0.2728)  -0.40



# 5
Compound: MnCdSe2
Source: Alexandria via LeMat-Bulk
Functional: GGA-PBEsol
Structure: relaxed

- Density of states at the Fermi level: 2.04 states/eV/cell
- Space-group type: P2/m, No. 10
- Energy relative to the elements, uncorrected: -113.0 meV per atom

Unit cell a=3.4616 b=3.9038 c=6.3205 alpha=98.98 beta=90.00 gamma=90.00
Site moments in Bohr magnetons follow the coordinates.
Fractional coordinates of all 4 atoms:
Cd (0.5000, 0.5000, 0.5000)  -0.02
Mn (0.5000, 0.5000, 0.0000)  3.62
Se (0.0000, 0.8161, 0.2314)  -0.01
Se (0.0000, 0.1839, 0.7686)  -0.01



# 6
Compound: MnCdSe3
Source: Alexandria via LeMat-Bulk
Functional: GGA-PBEsol
Structure: relaxed

- Density of states at the Fermi level: 3.54 states/eV/cell
- Space-group type: Pm-3m, No. 221
- Energy relative to the elements, uncorrected: 105.3 meV per atom

Unit cell a=4.7600 b=4.7600 c=4.7600 alpha=90.00 beta=90.00 gamma=90.00
Site moments in Bohr magnetons follow the coordinates.
Fractional coordinates of all 5 atoms:
Mn (0.0000, 0.0000, 0.0000)  3.01
Se (0.0000, 0.0000, 0.5000)  0.03
Se (0.0000, 0.5000, 0.0000)  0.03
Se (0.5000, 0.0000, 0.0000)  0.03
Cd (0.5000, 0.5000, 0.5000)  -0.01



# 7
Compound: Mn2CdSe
Source: Alexandria via LeMat-Bulk
Functional: GGA-PBEsol
Structure: relaxed

- Density of states at the Fermi level: 3.21 states/eV/cell
- Space-group type: F-43m, No. 216
- Energy relative to the elements, uncorrected: 519.8 meV per atom

Unit cell a=4.5691 b=4.5691 c=4.5691 alpha=60.00 beta=60.00 gamma=60.00
Site moments in Bohr magnetons follow the coordinates.
Fractional coordinates of all 4 atoms:
Mn (0.0000, 0.0000, 0.0000)  -3.30
Mn (0.2500, 0.2500, 0.2500)  3.66
Cd (0.5000, 0.5000, 0.5000)  0.01
Se (0.7500, 0.7500, 0.7500)  0.07



# 8
Compound: MnCd2Si
Source: Alexandria via LeMat-Bulk
Functional: GGA-PBEsol
Structure: relaxed

- Density of states at the Fermi level: 2.77 states/eV/cell
- Space-group type: Pmmm, No. 47
- Energy relative to the elements, uncorrected: 357.2 meV per atom

Unit cell a=3.2160 b=3.9407 c=5.4216 alpha=90.00 beta=90.00 gamma=90.00
Site moments in Bohr magnetons follow the coordinates.
Fractional coordinates of all 4 atoms:
Cd (0.0000, 0.0000, 0.2469)  -0.04
Cd (0.0000, 0.0000, 0.7531)  -0.04
Mn (0.5000, 0.5000, 0.0000)  3.34
Si (0.5000, 0.5000, 0.5000)  -0.04



# 9
Compound: MnCd2Si
Source: Alexandria via LeMat-Bulk
Functional: GGA-PBEsol
Structure: relaxed

- Density of states at the Fermi level: 2.39 states/eV/cell
- Space-group type: C2/m, No. 12
- Energy relative to the elements, uncorrected: 339.0 meV per atom

Unit cell a=2.8312 b=4.7397 c=5.8383 alpha=113.80 beta=103.80 gamma=90.56
Site moments in Bohr magnetons follow the coordinates.
Fractional coordinates of all 4 atoms:
Cd (0.5000, 0.5000, 0.5000)  -0.01
Cd (0.0000, 0.0000, 0.5000)  -0.01
Si (0.0000, 0.0000, 0.0000)  -0.06
Mn (0.5000, 0.5000, 0.0000)  3.31



# 10
Compound: MnCd2Si
Source: Alexandria via LeMat-Bulk
Functional: GGA-PBEsol
Structure: relaxed

- Density of states at the Fermi level: 1.54 states/eV/cell
- Space-group type: P4/mmm, No. 123
- Energy relative to the elements, uncorrected: 287.9 meV per atom

Unit cell a=4.1970 b=4.0021 c=4.0021 alpha=90.00 beta=90.00 gamma=90.00
Site moments in Bohr magnetons follow the coordinates.
Fractional coordinates of all 4 atoms:
Cd (0.0000, 0.0000, 0.5000)  -0.04
Cd (0.0000, 0.5000, 0.0000)  -0.04
Si (0.5000, 0.0000, 0.0000)  -0.01
Mn (0.5000, 0.5000, 0.5000)  3.38



# 11
Compound: SrMnCd2
Source: Alexandria via LeMat-Bulk
Functional: GGA-PBEsol
Structure: relaxed

- Density of states at the Fermi level: 2.88 states/eV/cell
- Space-group type: Immm, No. 71
- Formation enthalpy at 0 K: 0.1980 eV per atom

Unit cell a=5.1100 b=5.1135 c=5.1135 alpha=59.80 beta=60.02 gamma=60.02
Site moments in Bohr magnetons follow the coordinates.
Fractional coordinates of all 4 atoms:
Mn (0.5000, 0.0000, 0.0000)  4.04
Cd (0.7491, 0.2509, 0.2509)  -0.02
Cd (0.2509, 0.7491, 0.7491)  -0.02
Sr (0.0000, 0.5000, 0.5000)  -0.01



# 12
Compound: SrMnCd2
Source: Alexandria via LeMat-Bulk
Functional: GGA-PBEsol
Structure: relaxed

- Density of states at the Fermi level: 2.50 states/eV/cell
- Space-group type: R-3m, No. 166
- Formation enthalpy at 0 K: 0.1190 eV per atom

Unit cell a=4.6859 b=4.6866 c=6.1058 alpha=112.59 beta=90.00 gamma=119.99
Site moments in Bohr magnetons follow the coordinates.
Fractional coordinates of all 4 atoms:
Cd (0.7034, 0.4068, 0.6101)  -0.04
Cd (0.2966, 0.5932, 0.3899)  -0.04
Sr (0.5000, 0.0000, 0.0000)  -0.04
Mn (0.0000, 0.0000, 0.5000)  3.79



# 13
Compound: SrMnCd2
Source: Alexandria via LeMat-Bulk
Functional: GGA-PBEsol
Structure: relaxed

- Density of states at the Fermi level: 2.66 states/eV/cell
- Space-group type: Pmmm, No. 47
- Formation enthalpy at 0 K: 0.1200 eV per atom

Unit cell a=3.4491 b=3.5102 c=7.6017 alpha=90.00 beta=90.00 gamma=90.00
Site moments in Bohr magnetons follow the coordinates.
Fractional coordinates of all 4 atoms:
Cd (0.0000, 0.0000, 0.1932)  -0.04
Cd (0.0000, 0.0000, 0.8068)  -0.04
Sr (0.5000, 0.5000, 0.5000)  -0.01
Mn (0.5000, 0.5000, 0.0000)  3.78



# 14
Compound: SrMn3Cd
Source: Alexandria via LeMat-Bulk
Functional: GGA-PBEsol
Structure: relaxed

- Density of states at the Fermi level: 4.54 states/eV/cell
- Space-group type: Pm-3m, No. 221
- Formation enthalpy at 0 K: 2.0919 eV per atom

Unit cell a=4.8907 b=4.8907 c=4.8907 alpha=90.00 beta=90.00 gamma=90.00
Site moments in Bohr magnetons follow the coordinates.
Fractional coordinates of all 5 atoms:
Mn (0.0000, 0.5000, 0.0000)  3.56
Mn (0.0000, 0.0000, 0.5000)  3.56
Mn (0.5000, 0.0000, 0.0000)  3.56
Sr (0.0000, 0.0000, 0.0000)  -0.15
Cd (0.5000, 0.5000, 0.5000)  -0.04



# 15
Compound: SrMnCd2
Source: Alexandria via LeMat-Bulk
Functional: GGA-PBEsol
Structure: relaxed

- Density of states at the Fermi level: 3.02 states/eV/cell
- Space-group type: R3m, No. 160
- Formation enthalpy at 0 K: 0.4819 eV per atom

Unit cell a=3.4729 b=3.4729 c=9.6900 alpha=79.68 beta=79.68 gamma=60.00
Site moments in Bohr magnetons follow the coordinates.
Fractional coordinates of all 4 atoms:
Cd (0.7541, 0.7541, 0.7377)  -0.03
Cd (0.0095, 0.0095, 0.9714)  0.00
Sr (0.2473, 0.2473, 0.2582)  -0.08
Mn (0.4891, 0.4891, 0.5327)  3.84